The following is a PBE calculation of a geometry-optimized Tb4Tm3Th4 structure, from Alexandria.

Structure (POSCAR):
```
Tb4Tm3Th4
1.0
10.645 0.000 0.000
0.000 2.770 6.024
0.000 -2.770 6.024
Tb Tm Th
4 3 4
direct
0.000 0.000 0.000
0.212 0.809 0.809
0.500 0.959 0.959
0.788 0.809 0.809
0.000 0.307 0.307
0.294 0.455 0.455
0.706 0.455 0.455
0.000 0.608 0.608
0.285 0.151 0.151
0.500 0.676 0.676
0.715 0.151 0.151
```

The space group is No. 38. Its formation energy from the elements is 187 meV/atom. The value obtained for the density of states at the Fermi level is 14.08 states/eV/f.u.

=====

The following is a PBE calculation of a geometry-optimized LiPa2Mo structure, from Alexandria.

Structure (POSCAR):
```
LiPa2Mo
1.0
1.558 0.900 10.955
-1.558 0.900 10.955
0.000 -1.799 10.955
Li Pa Mo
1 2 1
direct
0.000 0.000 0.000
0.096 0.096 0.096
0.904 0.904 0.904
0.500 0.500 0.500
```

The space group is No. 166. Its formation energy from the elements is 382 meV/atom. The value obtained for the density of states at the Fermi level is 5.43 states/eV/f.u.

=====

The following is a PBE calculation of a geometry-optimized BaLiDyBr6 structure, from Alexandria.

Structure (POSCAR):
```
BaLiDyBr6
1.0
7.238 0.000 0.000
-3.619 6.268 0.000
0.000 0.000 14.060
Ba Li Dy Br
2 2 2 12
direct
0.000 0.000 0.000
0.000 0.000 0.500
0.333 0.667 0.250
0.667 0.333 0.750
0.333 0.667 0.750
0.667 0.333 0.250
0.002 0.368 0.137
0.002 0.635 0.363
0.365 0.368 0.363
0.365 0.998 0.137
0.368 0.002 0.637
0.368 0.365 0.863
0.632 0.635 0.137
0.632 0.998 0.363
0.635 0.002 0.863
0.635 0.632 0.637
0.998 0.365 0.637
0.998 0.632 0.863
```

The space group is No. 163. The value obtained for the density of states at the Fermi level is 0.00 states/eV/f.u. The energy relative to the elements, uncorrected comes out at -1891 meV per atom.

=====

The following is a PBE calculation of a geometry-optimized CsTlGaBi2 structure, from Alexandria.

Structure (POSCAR):
```
CsTlGaBi2
1.0
-2.651 2.651 6.702
2.651 -2.651 6.702
2.651 2.651 -6.702
Cs Tl Ga Bi
1 1 1 2
direct
0.000 0.000 0.000
0.250 0.750 0.500
0.750 0.250 0.500
0.374 0.374 0.000
0.626 0.626 0.000
```

As for the excess energy over the best structure of this formula in the dataset: 0.00 eV per formula unit. The space group is No. 119. Its formation energy from the elements is -169 meV/atom. The value obtained for the density of states at the Fermi level is 2.38 states/eV/f.u.